(1)
This record from Alexandria via LeMat-Bulk describes an optimized crystal structure of Y3HoEr2Te6. The functional is PBE.

Summary:
Fermi-level density of states = 0.54 states/eV/atom
E = -134.28 eV/cell
ΔE_f (raw) = -1.2663 eV/atom

Structure (CIF):
```
data_Y3HoEr2Te6
_chemical_formula_sum 'Y6 Ho2 Er4 Te12'
_symmetry_space_group_name_H-M 'C 1 2/m 1'
_symmetry_Int_Tables_number 12
_symmetry_space_group_name_Hall '-C 2y'
_cell_length_a 18.948
_cell_length_b 4.329
_cell_length_c 8.729
_cell_angle_alpha 90.00
_cell_angle_beta 103.48
_cell_angle_gamma 90.00
loop_
_atom_site_label
_atom_site_type_symbol
_atom_site_fract_x
_atom_site_fract_y
_atom_site_fract_z
_atom_site_occupancy
Y1 Y 0.000 0.000 0.000 1
Y2 Y 0.166 0.500 0.333 1
Ho1 Ho 0.000 0.000 0.500 1
Er1 Er 0.166 0.500 0.832 1
Te1 Te 0.001 0.500 0.749 1
Te2 Te 0.167 0.000 0.586 1
Te3 Te 0.168 0.000 0.081 1
```

***

(2)
This record from Alexandria via LeMat-Bulk describes an optimized crystal structure of Y3Ho3ErTe8. The functional is PBE.

Summary:
Fermi-level density of states = 0.46 states/eV/atom
E = -249.49 eV/cell
ΔE_f (raw) = -1.3560 eV/atom

Structure (CIF):
```
data_Y3Ho3ErTe8
_chemical_formula_sum 'Y9 Ho9 Er3 Te24'
_symmetry_space_group_name_H-M 'R -3 m'
_symmetry_Int_Tables_number 166
_symmetry_space_group_name_Hall '-R 3 2"'
_cell_length_a 8.6652
_cell_length_b 8.6652
_cell_length_c 21.2349
_cell_angle_alpha 90.00
_cell_angle_beta 90.00
_cell_angle_gamma 120.00
loop_
_atom_site_label
_atom_site_type_symbol
_atom_site_fract_x
_atom_site_fract_y
_atom_site_fract_z
_atom_site_occupancy
Y1 Y 0.0000 0.5000 0.0000 1
Ho1 Ho 0.0000 0.5000 0.5000 1
Er1 Er 0.0000 0.0000 0.5000 1
Te1 Te 0.0000 0.0000 0.2492 1
Te2 Te 0.0067 0.5033 0.7491 1
```